#a
Here is a geometry-optimized ScCd3Ni structure from Alexandria. Energies are from GGA-PBE.

Crystal system   cubic
Total magnetization   0.66 μB per formula unit
SG   No. 221

Lattice parameters (Å, degrees): 4.8616 4.8616 4.8616 90.00 90.00 90.00
Site moments in Bohr magnetons follow the coordinates.
Sites, in units of the cell vectors:
Ni 0.0000 0.0000 0.0000  0.11
Cd 0.0000 0.5000 0.0000  0.00
Cd 0.0000 0.0000 0.5000  0.01
Cd 0.5000 0.0000 0.0000  0.00
Sc 0.5000 0.5000 0.5000  0.31

=====

#b
Here is a geometry-optimized ScCd3Ni structure from Alexandria. Energies are from GGA-PBE.

Crystal system   cubic
Total magnetization   0.01 μB per formula unit
SG   No. 221

Lattice parameters (Å, degrees): 5.5036 5.5036 5.5036 90.00 90.00 90.00
Sites, in units of the cell vectors:
Ni 0.5000 0.5000 0.5000
Cd 0.0000 0.0000 0.5000
Cd 0.0000 0.5000 0.0000
Cd 0.5000 0.0000 0.0000
Sc 0.0000 0.0000 0.0000

=====

Most stable of them? #a.

=====

#a
Here is a geometry-optimized Sc2Cd2Ni structure from Alexandria. Energies are from GGA-PBE.

Crystal system   tetragonal
Total magnetization   0.00 μB per formula unit
SG   No. 127

Lattice parameters (Å, degrees): 6.9085 6.9085 4.3834 90.00 90.00 90.00
Sites, in units of the cell vectors:
Ni 0.5000 0.5000 0.0000
Ni 0.0000 0.0000 0.0000
Sc 0.3307 0.1693 0.5000
Sc 0.6693 0.8307 0.5000
Sc 0.1693 0.6693 0.5000
Sc 0.8307 0.3307 0.5000
Cd 0.3578 0.8578 0.0000
Cd 0.6422 0.1422 0.0000
Cd 0.1422 0.3578 0.0000
Cd 0.8578 0.6422 0.0000

=====

#b
Here is a geometry-optimized Sc2Cd2Ni structure from Alexandria. Energies are from GGA-PBE.

Crystal system   tetragonal
Total magnetization   0.00 μB per formula unit
SG   No. 139

Lattice parameters (Å, degrees): 3.2339 3.2339 9.6444 99.65 99.65 90.00
Sites, in units of the cell vectors:
Ni 0.0000 0.0000 0.0000
Cd 0.8044 0.8044 0.6088
Cd 0.1956 0.1956 0.3912
Sc 0.5813 0.5813 0.1626
Sc 0.4187 0.4187 0.8374

=====

Most stable of them? #b.

=====

#a
Here is a geometry-optimized ScCdNi2Te structure from Alexandria. Energies are from GGA-PBE.

Crystal system   tetragonal
Total magnetization   0.00 μB per formula unit
SG   No. 123

Lattice parameters (Å, degrees): 4.5618 5.5483 4.5618 90.00 90.00 90.00
Sites, in units of the cell vectors:
Cd 0.0000 0.5000 0.0000
Ni 0.0000 0.0000 0.5000
Ni 0.5000 0.0000 0.0000
Te 0.5000 0.5000 0.5000
Sc 0.0000 0.0000 0.0000

=====

#b
Here is a geometry-optimized ScCdNi2Te structure from Alexandria. Energies are from GGA-PBE.

Crystal system   tetragonal
Total magnetization   0.00 μB per formula unit
SG   No. 123

Lattice parameters (Å, degrees): 4.6827 5.3322 4.6827 90.00 90.00 90.00
Sites, in units of the cell vectors:
Cd 0.5000 0.5000 0.5000
Te 0.0000 0.0000 0.0000
Sc 0.0000 0.5000 0.0000
Ni 0.0000 0.0000 0.5000
Ni 0.5000 0.0000 0.0000

=====

Most stable of them? #b.

=====

#a
Here is a geometry-optimized TmScCdNi structure from Alexandria. Energies are from GGA-PBE.

Crystal system   cubic
Total magnetization   0.00 μB per formula unit
SG   No. 216

Lattice parameters (Å, degrees): 4.8791 4.8791 4.8791 60.00 60.00 60.00
Sites, in units of the cell vectors:
Tm 0.5000 0.5000 0.5000
Ni 0.2500 0.2500 0.2500
Sc 0.0000 0.0000 0.0000
Cd 0.7500 0.7500 0.7500

=====

#b
Here is a geometry-optimized TmScCdNi structure from Alexandria. Energies are from GGA-PBE.

Crystal system   tetragonal
Total magnetization   0.00 μB per formula unit
SG   No. 99

Lattice parameters (Å, degrees): 3.3301 3.3301 7.3501 90.00 90.00 90.00
Sites, in units of the cell vectors:
Sc 0.5000 0.5000 0.3609
Cd 0.0000 0.0000 0.0882
Tm 0.5000 0.5000 0.7833
Ni 0.0000 0.0000 0.5523

=====

Most stable of them? #b.

=====

#a
Here is a geometry-optimized CdSiNi2 structure from Alexandria. Energies are from GGA-PBE.

Crystal system   monoclinic
Total magnetization   0.00 μB per formula unit
SG   No. 8

Lattice parameters (Å, degrees): 4.5064 4.5064 4.6600 77.60 77.60 37.69
Sites, in units of the cell vectors:
Si 0.4811 0.4811 0.6078
Ni 0.0101 0.0101 0.9667
Ni 0.7579 0.7579 0.7052
Cd 0.2509 0.2509 0.2203

=====

#b
Here is a geometry-optimized CdSiNi2 structure from Alexandria. Energies are from GGA-PBE.

Crystal system   orthorhombic
Total magnetization   0.00 μB per formula unit
SG   No. 71

Lattice parameters (Å, degrees): 4.4492 4.4492 4.4492 131.22 120.16 80.72
Sites, in units of the cell vectors:
Ni 0.9563 0.9563 0.0000
Ni 0.5437 0.5437 0.0000
Si 0.7500 0.2500 0.5000
Cd 0.2500 0.7500 0.5000

=====

Most stable of them? #b.

=====

#a
Here is a geometry-optimized CdSiNi3 structure from Alexandria. Energies are from GGA-PBE.

Crystal system   cubic
Total magnetization   0.00 μB per formula unit
SG   No. 221

Lattice parameters (Å, degrees): 4.2392 4.2392 4.2392 90.00 90.00 90.00
Sites, in units of the cell vectors:
Ni 0.0000 0.5000 0.0000
Ni 0.0000 0.0000 0.5000
Ni 0.5000 0.0000 0.0000
Si 0.0000 0.0000 0.0000
Cd 0.5000 0.5000 0.5000

=====

#b
Here is a geometry-optimized CdSiNi3 structure from Alexandria. Energies are from GGA-PBE.

Crystal system   cubic
Total magnetization   0.57 μB per formula unit
SG   No. 221

Lattice parameters (Å, degrees): 4.6183 4.6183 4.6183 90.00 90.00 90.00
Site moments in Bohr magnetons follow the coordinates.
Sites, in units of the cell vectors:
Ni 0.0000 0.0000 0.5000  0.13
Ni 0.0000 0.5000 0.0000  0.19
Ni 0.5000 0.0000 0.0000  0.20
Cd 0.0000 0.0000 0.0000  -0.01
Si 0.5000 0.5000 0.5000  0.02

=====

Most stable of them? #a.